Record 1
Crystalline TeAs2Se at its relaxed geometry. Source: Alexandria, functional PBE.

```
data_TeAs2Se
_chemical_formula_sum 'Te1 As2 Se1'
_cell_length_a 3.586
_cell_length_b 4.682
_cell_length_c 5.219
_cell_angle_alpha 90.00
_cell_angle_beta 90.00
_cell_angle_gamma 90.00
_space_group_name_H-M_alt 'P m m m'
_space_group_IT_number 47
_space_group_name_Hall '-P 2 2'
loop_
_atom_site_label
_atom_site_fract_x
_atom_site_fract_y
_atom_site_fract_z
Te1 0.000 0.000 0.000
As1 0.000 0.500 0.500
As2 0.500 0.500 0.000
Se1 0.500 0.000 0.500
```

total magnetic moment = 0.0 μB/cell

---

Record 2
Crystalline TeAs2Se at its relaxed geometry. Source: Alexandria, functional PBE.

```
data_TeAs2Se
_chemical_formula_sum 'Te2 As4 Se2'
_cell_length_a 3.589
_cell_length_b 4.693
_cell_length_c 11.673
_cell_angle_alpha 90.00
_cell_angle_beta 90.00
_cell_angle_gamma 90.00
_space_group_name_H-M_alt 'C m m 2'
_space_group_IT_number 35
_space_group_name_Hall 'C 2 -2'
loop_
_atom_site_label
_atom_site_fract_x
_atom_site_fract_y
_atom_site_fract_z
Te1 0.000 0.000 0.000
As1 0.000 0.000 0.551
As2 0.000 0.500 0.727
Se1 0.000 0.500 0.330
```

total magnetic moment = 0.0 μB/cell

---

Record 3
Crystalline TeAsSe at its relaxed geometry. Source: Alexandria, functional PBE.

```
data_TeAsSe
_chemical_formula_sum 'Te2 As2 Se2'
_cell_length_a 4.044
_cell_length_b 4.100
_cell_length_c 10.306
_cell_angle_alpha 90.00
_cell_angle_beta 90.00
_cell_angle_gamma 90.00
_space_group_name_H-M_alt 'I m m 2'
_space_group_IT_number 44
_space_group_name_Hall 'I 2 -2'
loop_
_atom_site_label
_atom_site_fract_x
_atom_site_fract_y
_atom_site_fract_z
Te1 0.000 0.000 0.000
As1 0.000 0.000 0.560
Se1 0.000 0.000 0.329
```

total magnetic moment = 0.0 μB/cell

---

Record 4
Crystalline TeAs2Se at its relaxed geometry. Source: Alexandria, functional PBE.

```
data_TeAs2Se
_chemical_formula_sum 'Te2 As4 Se2'
_cell_length_a 3.852
_cell_length_b 3.852
_cell_length_c 15.100
_cell_angle_alpha 90.00
_cell_angle_beta 90.00
_cell_angle_gamma 90.00
_space_group_name_H-M_alt 'I -4 m 2'
_space_group_IT_number 119
_space_group_name_Hall 'I -4 -2'
loop_
_atom_site_label
_atom_site_fract_x
_atom_site_fract_y
_atom_site_fract_z
Te1 0.000 0.000 0.000
As1 0.000 0.000 0.500
As2 0.000 0.500 0.750
Se1 0.000 0.500 0.250
```

total magnetic moment = 0.1 μB/cell

---

Record 5
Crystalline TeAsSe2 at its relaxed geometry. Source: Alexandria, functional PBE.

```
data_TeAsSe2
_chemical_formula_sum 'Te1 As1 Se2'
_cell_length_a 3.813
_cell_length_b 3.940
_cell_length_c 7.637
_cell_angle_alpha 90.00
_cell_angle_beta 90.00
_cell_angle_gamma 90.00
_space_group_name_H-M_alt 'P m m m'
_space_group_IT_number 47
_space_group_name_Hall '-P 2 2'
loop_
_atom_site_label
_atom_site_fract_x
_atom_site_fract_y
_atom_site_fract_z
Te1 0.000 0.000 0.000
As1 0.500 0.000 0.500
Se1 0.000 0.500 0.500
Se2 0.500 0.500 0.000
```

total magnetic moment = 0.0 μB/cell

---

Record 6
Crystalline TeAsSe2 at its relaxed geometry. Source: Alexandria, functional PBE.

```
data_TeAsSe2
_chemical_formula_sum 'Te4 As4 Se8'
_cell_length_a 7.309
_cell_length_b 7.309
_cell_length_c 8.280
_cell_angle_alpha 90.00
_cell_angle_beta 90.00
_cell_angle_gamma 90.00
_space_group_name_H-M_alt 'I -4 2 d'
_space_group_IT_number 122
_space_group_name_Hall 'I -4 2bw'
loop_
_atom_site_label
_atom_site_fract_x
_atom_site_fract_y
_atom_site_fract_z
Te1 0.000 0.000 0.000
As1 0.000 0.000 0.500
Se1 0.222 0.250 0.625
```

total magnetic moment = 0.0 μB/cell

---

Record 7
Crystalline TeAsSe2 at its relaxed geometry. Source: Alexandria, functional PBE.

```
data_TeAsSe2
_chemical_formula_sum 'Te1 As1 Se2'
_cell_length_a 4.972
_cell_length_b 4.972
_cell_length_c 3.550
_cell_angle_alpha 90.00
_cell_angle_beta 90.00
_cell_angle_gamma 90.00
_space_group_name_H-M_alt 'P 4/m m m'
_space_group_IT_number 123
_space_group_name_Hall '-P 4 2'
loop_
_atom_site_label
_atom_site_fract_x
_atom_site_fract_y
_atom_site_fract_z
Te1 0.000 0.000 0.000
As1 0.500 0.500 0.000
Se1 0.000 0.500 0.500
```

total magnetic moment = 0.0 μB/cell

---

Record 8
Crystalline Te2AsSe at its relaxed geometry. Source: Alexandria, functional PBE.

```
data_Te2AsSe
_chemical_formula_sum 'Te4 As2 Se2'
_cell_length_a 7.452
_cell_length_b 4.179
_cell_length_c 7.405
_cell_angle_alpha 90.00
_cell_angle_beta 111.17
_cell_angle_gamma 90.00
_space_group_name_H-M_alt 'C 1 2/m 1'
_space_group_IT_number 12
_space_group_name_Hall '-C 2y'
loop_
_atom_site_label
_atom_site_fract_x
_atom_site_fract_y
_atom_site_fract_z
Te1 0.244 0.000 0.262
As1 0.000 0.000 0.500
Se1 0.000 0.500 0.000
```

total magnetic moment = 0.0 μB/cell

---

Record 9
Crystalline Te2AsSe at its relaxed geometry. Source: Alexandria, functional PBE.

```
data_Te2AsSe
_chemical_formula_sum 'Te4 As2 Se2'
_cell_length_a 3.354
_cell_length_b 5.303
_cell_length_c 15.069
_cell_angle_alpha 90.00
_cell_angle_beta 90.00
_cell_angle_gamma 90.00
_space_group_name_H-M_alt 'I m m 2'
_space_group_IT_number 44
_space_group_name_Hall 'I 2 -2'
loop_
_atom_site_label
_atom_site_fract_x
_atom_site_fract_y
_atom_site_fract_z
Te1 0.000 0.000 0.000
Te2 0.000 0.500 0.086
As1 0.000 0.000 0.372
Se1 0.000 0.500 0.760
```

total magnetic moment = 0.0 μB/cell

---

Record 10
Crystalline TeAs3Se at its relaxed geometry. Source: Alexandria, functional PBE.

```
data_TeAs3Se
_chemical_formula_sum 'Te1 As3 Se1'
_cell_length_a 5.313
_cell_length_b 5.313
_cell_length_c 5.313
_cell_angle_alpha 90.00
_cell_angle_beta 90.00
_cell_angle_gamma 90.00
_space_group_name_H-M_alt 'P m -3 m'
_space_group_IT_number 221
_space_group_name_Hall '-P 4 2 3'
loop_
_atom_site_label
_atom_site_fract_x
_atom_site_fract_y
_atom_site_fract_z
Te1 0.000 0.000 0.000
As1 0.000 0.000 0.500
Se1 0.500 0.500 0.500
```

total magnetic moment = 0.0 μB/cell

---

Record 11
Crystalline Te2AsSe at its relaxed geometry. Source: Alexandria, functional PBE.

```
data_Te2AsSe
_chemical_formula_sum 'Te4 As2 Se2'
_cell_length_a 4.164
_cell_length_b 6.028
_cell_length_c 8.549
_cell_angle_alpha 90.00
_cell_angle_beta 90.00
_cell_angle_gamma 90.00
_space_group_name_H-M_alt 'A m m 2'
_space_group_IT_number 38
_space_group_name_Hall 'A 2 -2'
loop_
_atom_site_label
_atom_site_fract_x
_atom_site_fract_y
_atom_site_fract_z
Te1 0.000 0.000 0.000
Te2 0.500 0.000 0.272
As1 0.000 0.000 0.515
Se1 0.500 0.000 0.739
```

total magnetic moment = 0.0 μB/cell

---

Record 12
Crystalline TeAs2Se at its relaxed geometry. Source: Alexandria, functional PBE.

```
data_TeAs2Se
_chemical_formula_sum 'Te2 As4 Se2'
_cell_length_a 3.659
_cell_length_b 5.685
_cell_length_c 8.730
_cell_angle_alpha 90.00
_cell_angle_beta 90.00
_cell_angle_gamma 90.00
_space_group_name_H-M_alt 'C m m m'
_space_group_IT_number 65
_space_group_name_Hall '-C 2 2'
loop_
_atom_site_label
_atom_site_fract_x
_atom_site_fract_y
_atom_site_fract_z
Te1 0.000 0.000 0.000
As1 0.000 0.500 0.271
Se1 0.000 0.000 0.500
```

total magnetic moment = 0.0 μB/cell

---

Total DFT energy (no corrections) for every record listed, in sequence, given in eV/atom: -3.524; -3.595; -3.483; -3.593; -3.379; -3.484; -3.252; -3.534; -3.455; -2.932; -3.519; -3.541.